[1]
Entry from Alexandria via LeMat-Bulk: a relaxed structure of PrHo2ErHg4 (PBE-GGA).

The calculation puts the volume at 26.29 Å³/atom. The formation energy is -3.73 eV/f.u. As for the density of states at the Fermi level: 8.34 states/eV/f.u. The calculation puts the total magnetic moment at 0.094 μB per atom.

The space group is R-3m (No. 166, hexagonal axes) and the conventional cell measures 5.2791, 5.2791 and 26.1444 Å, with angles of 90.00, 90.00 and 120.00 degrees. The asymmetric unit holds Pr at (0.0000, 0.0000, 0.0000), Ho at (0.0000, 0.0000, 0.2489), Er at (0.0000, 0.0000, 0.5000), Hg at (0.0000, 0.0000, 0.1276) and Hg at (0.0000, 0.0000, 0.3789).

=====

[2]
Entry from Alexandria via LeMat-Bulk: a relaxed structure of CaEu2Pt (PBE-GGA).

The calculation puts the volume at 39.08 Å³/atom. The formation energy is -1.53 eV/f.u. As for the density of states at the Fermi level: 20.88 states/eV/f.u. The calculation puts the total magnetic moment at 3.579 μB per atom.

The space group is R-3m (No. 166, hexagonal axes) and the conventional cell measures 4.0614, 4.0614 and 32.8311 Å, with angles of 90.00, 90.00 and 120.00 degrees. The asymmetric unit holds Ca at (0.0000, 0.0000, 0.0000), Eu at (0.0000, 0.0000, 0.1146) and Pt at (0.0000, 0.0000, 0.5000).

=====

[3]
Entry from Alexandria via LeMat-Bulk: a relaxed structure of CaBS (PBE-GGA).

The calculation puts the volume at 18.33 Å³/atom. The value obtained for the energy relative to the elements, uncorrected is -829 meV/atom. The calculation puts the total magnetic moment at 0.000 μB per atom.

The space group is Cm (No. 8) and the conventional cell measures 11.110, 3.448 and 7.888 Å, with angles of 90.00, 133.29 and 90.00 degrees. The asymmetric unit holds Ca at (0.000, 0.000, 0.000), Ca at (0.009, 0.000, 0.569), B at (0.246, 0.245, 0.525), S at (0.027, 0.500, 0.306) and S at (0.157, 0.500, 0.934).

=====

[4]
Entry from Alexandria via LeMat-Bulk: a relaxed structure of TiHgH2 (PBE-GGA).

The calculation puts the volume at 10.98 Å³/atom. The value obtained for the uncorrected energy is -3.32 eV/atom. As for the density of states at the Fermi level: 1.74 states/eV/f.u. The calculation puts the total magnetic moment at 0.000 μB per atom.

The space group is Fm-3m (No. 225) and the conventional cell measures 5.600, 5.600 and 5.600 Å, with angles of 90.00, 90.00 and 90.00 degrees. The asymmetric unit holds Ti at (0.000, 0.000, 0.000), Hg at (0.000, 0.000, 0.500) and H at (0.250, 0.250, 0.250).

=====

[5]
Entry from Alexandria via LeMat-Bulk: a relaxed structure of TbDyAl3 (PBE-GGA).

The calculation puts the volume at 22.32 Å³/atom. The formation energy is -2.25 eV/f.u. As for the density of states at the Fermi level: 3.19 states/eV/f.u. The calculation puts the total magnetic moment at 0.004 μB per atom.

The space group is Cmcm (No. 63) and the conventional cell measures 3.549, 27.697 and 4.542 Å, with angles of 90.00, 90.00 and 90.00 degrees. The asymmetric unit holds Tb at (0.000, 0.211, 0.250), Dy at (0.000, 0.071, 0.750), Al at (0.000, 0.330, 0.250), Al at (0.000, 0.382, 0.750) and Al at (0.000, 0.476, 0.750).

=====

[6]
Entry from Alexandria via LeMat-Bulk: a relaxed structure of SrAgH6Rh (PBE-GGA).

The calculation puts the volume at 11.38 Å³/atom. The value obtained for the uncorrected energy is -3.82 eV/atom. The calculation puts the total magnetic moment at 0.000 μB per atom.

The space group is P312 (No. 149) and the conventional cell measures 5.0148, 5.0148 and 4.7031 Å, with angles of 90.00, 90.00 and 120.00 degrees. The asymmetric unit holds Sr at (0.0000, 0.0000, 0.0000), Ag at (0.3333, 0.6667, 0.5000), H at (0.4233, 0.0506, 0.7170) and Rh at (0.6667, 0.3333, 0.5000).

=====

[7]
Entry from Alexandria via LeMat-Bulk: a relaxed structure of MnCr (PBE-GGA).

The calculation puts the volume at 11.33 Å³/atom. The formation energy is 0.43 eV/f.u. As for the density of states at the Fermi level: 2.54 states/eV/f.u. The calculation puts the total magnetic moment at 0.000 μB per atom.

The space group is R-3m (No. 166, hexagonal axes) and the conventional cell measures 2.5000, 2.5000 and 25.1173 Å, with angles of 90.00, 90.00 and 120.00 degrees. The asymmetric unit holds Mn at (0.0000, 0.0000, 0.1276) and Cr at (0.0000, 0.0000, 0.3771).

=====

[8]
Entry from Alexandria via LeMat-Bulk: a relaxed structure of TiZnCoNi (PBE-GGA).

The calculation puts the volume at 12.50 Å³/atom. The formation energy is -1.40 eV/f.u. As for the density of states at the Fermi level: 3.54 states/eV/f.u. The calculation puts the total magnetic moment at 0.106 μB per atom.

The space group is F-43m (No. 216) and the conventional cell measures 5.848, 5.848 and 5.848 Å, with angles of 90.00, 90.00 and 90.00 degrees. The asymmetric unit holds Ti at (0.000, 0.000, 0.000), Zn at (0.000, 0.000, 0.500), Co at (0.250, 0.250, 0.250) and Ni at (0.250, 0.250, 0.750).

=====

[9]
Entry from Alexandria via LeMat-Bulk: a relaxed structure of NdAl2Cd (PBE-GGA).

The calculation puts the volume at 23.49 Å³/atom. The formation energy is -0.93 eV/f.u. As for the density of states at the Fermi level: 2.21 states/eV/f.u. The calculation puts the total magnetic moment at 0.000 μB per atom.

The space group is R-3m (No. 166, hexagonal axes) and the conventional cell measures 4.5199, 4.5199 and 15.9354 Å, with angles of 90.00, 90.00 and 120.00 degrees. The asymmetric unit holds Nd at (0.0000, 0.0000, 0.0000), Al at (0.0000, 0.0000, 0.2170) and Cd at (0.0000, 0.0000, 0.5000).

=====

[10]
Entry from Alexandria via LeMat-Bulk: a relaxed structure of ScTiVIn (PBE-GGA).

The calculation puts the volume at 18.98 Å³/atom. The formation energy is 0.02 eV/f.u. As for the density of states at the Fermi level: 5.48 states/eV/f.u. The calculation puts the total magnetic moment at 0.486 μB per atom.

The space group is F-43m (No. 216) and the conventional cell measures 6.722, 6.722 and 6.722 Å, with angles of 90.00, 90.00 and 90.00 degrees. The asymmetric unit holds Sc at (0.000, 0.000, 0.000), Ti at (0.000, 0.000, 0.500), V at (0.250, 0.250, 0.250) and In at (0.250, 0.250, 0.750).

=====

[11]
Entry from Alexandria via LeMat-Bulk: a relaxed structure of Tc2OsRu (PBE-GGA).

The calculation puts the volume at 14.68 Å³/atom. The formation energy is 1.92 eV/f.u. As for the density of states at the Fermi level: 6.65 states/eV/f.u. The calculation puts the total magnetic moment at 0.309 μB per atom.

The space group is F-43m (No. 216) and the conventional cell measures 6.169, 6.169 and 6.169 Å, with angles of 90.00, 90.00 and 90.00 degrees. The asymmetric unit holds Tc at (0.000, 0.000, 0.000), Tc at (0.250, 0.250, 0.250), Os at (0.250, 0.250, 0.750) and Ru at (0.000, 0.000, 0.500).

=====

[12]
Entry from Alexandria via LeMat-Bulk: a relaxed structure of ScNiOs2 (PBE-GGA).

The calculation puts the volume at 14.67 Å³/atom. The formation energy is 0.81 eV/f.u. As for the density of states at the Fermi level: 4.62 states/eV/f.u. The calculation puts the total magnetic moment at 0.000 μB per atom.

The space group is Cmmm (No. 65) and the conventional cell measures 3.157, 4.433 and 8.384 Å, with angles of 90.00, 90.00 and 90.00 degrees. The asymmetric unit holds Sc at (0.000, 0.000, 0.000), Ni at (0.000, 0.000, 0.500) and Os at (0.000, 0.500, 0.267).

=====

[13]
Entry from Alexandria via LeMat-Bulk: a relaxed structure of CeZn2Ag2Au (PBE-GGA).

The calculation puts the volume at 23.01 Å³/atom. The formation energy is -0.03 eV/f.u. As for the density of states at the Fermi level: 10.47 states/eV/f.u. The calculation puts the total magnetic moment at 0.185 μB per atom.

The space group is P4/mmm (No. 123) and the conventional cell measures 4.880, 4.880 and 5.799 Å, with angles of 90.00, 90.00 and 90.00 degrees. The asymmetric unit holds Ce at (0.000, 0.000, 0.000), Zn at (0.000, 0.500, 0.500), Ag at (0.500, 0.500, 0.237) and Au at (0.000, 0.000, 0.500).

=====

[14]
Entry from Alexandria via LeMat-Bulk: a relaxed structure of Ca5InAu4 (PBE-GGA).

The calculation puts the volume at 25.05 Å³/atom. The formation energy is -7.18 eV/f.u. As for the density of states at the Fermi level: 7.05 states/eV/f.u. The calculation puts the total magnetic moment at 0.000 μB per atom.

The space group is P4/mmm (No. 123) and the conventional cell measures 3.644, 3.644 and 18.869 Å, with angles of 90.00, 90.00 and 90.00 degrees. The asymmetric unit holds Ca at (0.000, 0.000, 0.000), Ca at (0.000, 0.000, 0.192), Ca at (0.000, 0.000, 0.384), In at (0.500, 0.500, 0.500), Au at (0.500, 0.500, 0.096) and Au at (0.500, 0.500, 0.290).

=====

[15]
Entry from Alexandria via LeMat-Bulk: a relaxed structure of Ba2NaPt (PBE-GGA).

The calculation puts the volume at 44.09 Å³/atom. The formation energy is -0.88 eV/f.u. As for the density of states at the Fermi level: 4.33 states/eV/f.u. The calculation puts the total magnetic moment at 0.000 μB per atom.

The space group is I-42d (No. 122) and the conventional cell measures 9.542, 9.542 and 7.746 Å, with angles of 90.00, 90.00 and 90.00 degrees. The asymmetric unit holds Ba at (0.169, 0.750, 0.125), Na at (0.000, 0.000, 0.500) and Pt at (0.000, 0.000, 0.000).

=====

[16]
Entry from Alexandria via LeMat-Bulk: a relaxed structure of FeCoSe4 (PBE-GGA).

The calculation puts the volume at 18.91 Å³/atom. The value obtained for the energy relative to the elements, uncorrected is -255 meV/atom. As for the density of states at the Fermi level: 4.58 states/eV/f.u. The calculation puts the total magnetic moment at 0.243 μB per atom.

The space group is P2/m (No. 10) and the conventional cell measures 5.424, 3.432 and 6.097 Å, with angles of 90.00, 90.84 and 90.00 degrees. The asymmetric unit holds Fe at (0.000, 0.000, 0.000), Co at (0.000, 0.500, 0.500), Se at (0.237, 0.000, 0.335) and Se at (0.244, 0.500, 0.828).

=====

[17]
Entry from Alexandria via LeMat-Bulk: a relaxed structure of Y5CoHg (PBE-GGA).

The calculation puts the volume at 27.54 Å³/atom. The formation energy is -0.70 eV/f.u. As for the density of states at the Fermi level: 8.16 states/eV/f.u. The calculation puts the total magnetic moment at 0.000 μB per atom.

The space group is C2/c (No. 15) and the conventional cell measures 9.666, 7.184 and 11.619 Å, with angles of 90.00, 107.11 and 90.00 degrees. The asymmetric unit holds Y at (0.000, 0.009, 0.250), Y at (0.115, 0.323, 0.559), Y at (0.242, 0.168, 0.128), Co at (0.000, 0.000, 0.000) and Hg at (0.000, 0.428, 0.250).

=====

[18]
Entry from Alexandria via LeMat-Bulk: a relaxed structure of Pm4Te2RhSe (PBE-GGA).

The calculation puts the volume at 29.00 Å³/atom. The value obtained for the energy relative to the elements, uncorrected is -1334 meV/atom. As for the density of states at the Fermi level: 6.76 states/eV/f.u. The calculation puts the total magnetic moment at 0.000 μB per atom.

The space group is P2/m (No. 10) and the conventional cell measures 7.542, 4.234 and 7.664 Å, with angles of 90.00, 108.53 and 90.00 degrees. The asymmetric unit holds Pm at (0.223, 0.000, 0.211), Pm at (0.250, 0.500, 0.777), Te at (0.000, 0.000, 0.500), Te at (0.500, 0.500, 0.500), Rh at (0.000, 0.500, 0.000) and Se at (0.500, 0.000, 0.000).

=====

[19]
Entry from Alexandria via LeMat-Bulk: a relaxed structure of Yb2B6Ru (PBE-GGA).

The calculation puts the volume at 10.51 Å³/atom. The formation energy is -4.46 eV/f.u. As for the density of states at the Fermi level: 15.64 states/eV/f.u. The calculation puts the total magnetic moment at 0.013 μB per atom.

The space group is Pbam (No. 55) and the conventional cell measures 9.109, 11.451 and 3.628 Å, with angles of 90.00, 90.00 and 90.00 degrees. The asymmetric unit holds Yb at (0.057, 0.131, 0.000), Yb at (0.177, 0.414, 0.000), B at (0.018, 0.289, 0.500), B at (0.054, 0.567, 0.500), B at (0.099, 0.973, 0.500), B at (0.131, 0.815, 0.500), B at (0.208, 0.236, 0.500), B at (0.250, 0.081, 0.500) and Ru at (0.139, 0.680, 0.000).

=====

[20]
Entry from Alexandria via LeMat-Bulk: a relaxed structure of PmDy2Y2Mg5 (PBE-GGA).

The calculation puts the volume at 28.93 Å³/atom. The formation energy is 0.76 eV/f.u. As for the density of states at the Fermi level: 9.82 states/eV/f.u. The calculation puts the total magnetic moment at 0.000 μB per atom.

The space group is P4/mbm (No. 127) and the conventional cell measures 10.641, 10.641 and 5.110 Å, with angles of 90.00, 90.00 and 90.00 degrees. The asymmetric unit holds Pm at (0.000, 0.000, 0.000), Dy at (0.119, 0.381, 0.000), Y at (0.178, 0.678, 0.000), Mg at (0.000, 0.500, 0.500) and Mg at (0.075, 0.197, 0.500).